VASP calculation (GGA+U) on a relaxed structure of LiAlNi2O4.

Summary:
DOS at the Fermi energy (states/eV/atom): 0.00
Symmetry: P2/m (10)
Volume (Å³ per cell): 70
Calculated total energy (eV per atom): -5.65

Unit cell a=2.923 b=4.999 c=5.004 alpha=107.79 beta=90.00 gamma=90.00
Site moments in Bohr magnetons follow the coordinates.
Element x y z (fractional)
O 0.000 0.732 0.227  0.10
O 0.000 0.268 0.773  0.10
O 0.500 0.268 0.242  0.11
O 0.500 0.732 0.758  0.11
Li 0.000 0.000 0.000  0.01
Al 0.500 0.500 0.000  0.01
Ni 0.500 0.000 0.500  1.77
Ni 0.000 0.500 0.500  1.73